(1)
Compound: SrH3S
Source: Alexandria
Functional: PBE-GGA
Structure: relaxed

```
SrH3S
1.0
3.957 0.000 0.000
0.000 3.957 0.000
0.000 0.000 3.957
Sr S H
1 1 3
Direct
0.500 0.500 0.500
0.000 0.000 0.000
0.000 0.500 0.000
0.000 0.000 0.500
0.500 0.000 0.000
```

Calculated values
The relative energy among the computed polymorphs comes out at 0.00 eV per formula unit. As for the density of states at the Fermi level: 1.88 states/eV/cell. As for the symmetry: No. 221. The total energy is -14.9 eV per cell.

=====

(2)
Compound: CuIrW
Source: Alexandria
Functional: PBE-GGA
Structure: relaxed

```
CuIrW
1.0
-0.303 -4.214 1.949
3.365 -1.368 2.907
-3.245 3.224 -0.849
Cu Ir W
1 1 1
Direct
0.000 0.000 0.000
0.667 0.667 0.000
0.333 0.333 0.000
```

Calculated values
The relative energy among the computed polymorphs comes out at 0.00 eV per formula unit. As for the density of states at the Fermi level: 1.60 states/eV/cell. As for the symmetry: No. 44. The formation energy is -0.064 eV per atom. The total energy is -26.1 eV per cell.